The following is a SCAN calculation of LiTiCl3 at its PBEsol-relaxed geometry, from Alexandria.

Output
* formation energy without anion corrections: -1.51 eV per atom

Structure (CIF):
```
data_LiTiCl3
_chemical_formula_sum 'Li1 Ti1 Cl3'
_symmetry_space_group_name_H-M 'P m -3 m'
_symmetry_Int_Tables_number 221
_symmetry_space_group_name_Hall '-P 4 2 3'
_cell_length_a 4.879
_cell_length_b 4.879
_cell_length_c 4.879
_cell_angle_alpha 90.00
_cell_angle_beta 90.00
_cell_angle_gamma 90.00
loop_
_atom_site_label
_atom_site_fract_x
_atom_site_fract_y
_atom_site_fract_z
Li1 0.000 0.000 0.000
Ti1 0.500 0.500 0.500
Cl1 0.000 0.500 0.500
```

The following is a SCAN calculation of ZnNiAu2 at its PBEsol-relaxed geometry, from Alexandria.

Output
* energy of formation from the pure elements: -0.11 eV/atom

Structure (CIF):
```
data_ZnNiAu2
_chemical_formula_sum 'Zn2 Ni2 Au4'
_symmetry_space_group_name_H-M 'I -4 m 2'
_symmetry_Int_Tables_number 119
_symmetry_space_group_name_Hall 'I -4 -2'
_cell_length_a 3.852
_cell_length_b 3.852
_cell_length_c 7.790
_cell_angle_alpha 90.00
_cell_angle_beta 90.00
_cell_angle_gamma 90.00
loop_
_atom_site_label
_atom_site_fract_x
_atom_site_fract_y
_atom_site_fract_z
Zn1 0.000 0.000 0.000
Ni1 0.000 0.500 0.750
Au1 0.000 0.000 0.500
Au2 0.000 0.500 0.250
```

The following is a SCAN calculation of KTlCr3 at its PBEsol-relaxed geometry, from Alexandria.

Output
* energy of formation from the pure elements: 1.76 eV/atom

Structure (CIF):
```
data_KTlCr3
_chemical_formula_sum 'K1 Tl1 Cr3'
_symmetry_space_group_name_H-M 'P m -3 m'
_symmetry_Int_Tables_number 221
_symmetry_space_group_name_Hall '-P 4 2 3'
_cell_length_a 5.383
_cell_length_b 5.383
_cell_length_c 5.383
_cell_angle_alpha 90.00
_cell_angle_beta 90.00
_cell_angle_gamma 90.00
loop_
_atom_site_label
_atom_site_fract_x
_atom_site_fract_y
_atom_site_fract_z
K1 0.000 0.000 0.000
Tl1 0.500 0.500 0.500
Cr1 0.000 0.000 0.500
```

The following is a SCAN calculation of K2TlCuB at its PBEsol-relaxed geometry, from Alexandria.

Output
* energy of formation from the pure elements: 0.81 eV/atom

Structure (CIF):
```
data_K2TlCuB
_chemical_formula_sum 'K2 Tl1 Cu1 B1'
_symmetry_space_group_name_H-M 'P 4/m m m'
_symmetry_Int_Tables_number 123
_symmetry_space_group_name_Hall '-P 4 2'
_cell_length_a 6.580
_cell_length_b 6.580
_cell_length_c 4.079
_cell_angle_alpha 90.00
_cell_angle_beta 90.00
_cell_angle_gamma 90.00
loop_
_atom_site_label
_atom_site_fract_x
_atom_site_fract_y
_atom_site_fract_z
K1 0.000 0.500 0.000
Tl1 0.000 0.000 0.000
Cu1 0.500 0.500 0.500
B1 0.000 0.000 0.500
```

The following is a SCAN calculation of BaIr2Os at its PBEsol-relaxed geometry, from Alexandria.

Output
* relative energy among the computed polymorphs: 554 meV per atom
* energy of formation from the pure elements: 0.55 eV/atom

Structure (CIF):
```
data_BaIr2Os
_chemical_formula_sum 'Ba2 Ir4 Os2'
_symmetry_space_group_name_H-M 'C 1 m 1'
_symmetry_Int_Tables_number 8
_symmetry_space_group_name_Hall 'C -2y'
_cell_length_a 8.956
_cell_length_b 2.915
_cell_length_c 6.443
_cell_angle_alpha 90.00
_cell_angle_beta 100.10
_cell_angle_gamma 90.00
loop_
_atom_site_label
_atom_site_fract_x
_atom_site_fract_y
_atom_site_fract_z
Ba1 0.000 0.000 0.000
Ir1 0.224 0.000 0.674
Ir2 0.496 0.000 0.475
Os1 0.265 0.500 0.369
```

The following is a SCAN calculation of PIr2Os at its PBEsol-relaxed geometry, from Alexandria.

Output
* energy of formation from the pure elements: 0.08 eV/atom

Structure (CIF):
```
data_PIr2Os
_chemical_formula_sum 'P2 Ir4 Os2'
_symmetry_space_group_name_H-M 'A m m 2'
_symmetry_Int_Tables_number 38
_symmetry_space_group_name_Hall 'A 2 -2'
_cell_length_a 3.776
_cell_length_b 2.798
_cell_length_c 10.317
_cell_angle_alpha 90.00
_cell_angle_beta 90.00
_cell_angle_gamma 90.00
loop_
_atom_site_label
_atom_site_fract_x
_atom_site_fract_y
_atom_site_fract_z
P1 0.000 0.000 0.000
Ir1 0.000 0.000 0.775
Ir2 0.500 0.000 0.141
Os1 0.500 0.000 0.412
```

no.,total magnetization (μB per formula unit)
1,2.00
2,0.00
3,15.69
4,0.00
5,0.00
6,0.00